{"formula": "Ag6SnBi", "functional": "PBE", "state": "optimized geometry", "lattice": [[4.959, 0.000, 0.000], [0.000, 6.139, -0.197], [0.000, -2.895, 5.417]], "species": ["Ag", "Ag", "Sn", "Ag", "Ag", "Ag", "Ag", "Bi"], "frac_coords": [[0.500, 0.913, 0.576], [0.000, 0.067, 0.408], [0.000, 0.084, 0.916], [0.000, 0.591, 0.409], [0.500, 0.424, 0.087], [0.000, 0.592, 0.933], [0.500, 0.913, 0.087], [0.500, 0.416, 0.584]], "total_energy_ev_per_atom": -3.10, "delta_e_f_mev_per_atom": 27, "space_group": "P-6m2 (187)"}



{"formula": "Ag2SnBi2", "functional": "PBE", "state": "optimized geometry", "lattice": [[3.982, 0.000, 0.000], [0.000, 3.982, 0.000], [1.991, 1.991, 8.429]], "species": ["Sn", "Bi", "Ag", "Ag", "Bi"], "frac_coords": [[0.000, 0.000, 0.000], [0.390, 0.390, 0.221], [0.250, 0.750, 0.500], [0.750, 0.250, 0.500], [0.610, 0.610, 0.779]], "total_energy_ev_per_atom": -3.37, "delta_e_f_mev_per_atom": 126, "space_group": "I4/mmm (139)", "de_polymorph_mev_per_atom": 0}



{"formula": "Sr2Ag4SnBi3", "functional": "PBE", "state": "optimized geometry", "lattice": [[4.733, 0.000, 0.000], [0.000, 4.733, 0.000], [0.000, 0.000, 12.640]], "species": ["Sn", "Bi", "Ag", "Bi", "Sr", "Ag", "Sr", "Bi", "Ag", "Ag"], "frac_coords": [[0.500, 0.500, 0.500], [0.000, 0.500, 0.137], [0.000, 0.500, 0.360], [0.000, 0.000, 0.500], [0.500, 0.000, 0.240], [0.500, 0.500, 0.000], [0.000, 0.500, 0.760], [0.500, 0.000, 0.863], [0.000, 0.000, 0.000], [0.500, 0.000, 0.640]], "total_energy_ev_per_atom": -3.38, "delta_e_f_mev_per_atom": -341, "space_group": "P-4m2 (115)"}